Record 1
NdSm3F | PBE-GGA | optimized geometry

Properties
SG: Pm-3m
Fermi-level density of states: 4.7 states/eV/f.u.

Cell and atoms, written as CIF:
```
data_NdSm3F
_chemical_formula_sum 'Nd1 Sm3 F1'
_symmetry_space_group_name_H-M 'P 1'
_symmetry_Int_Tables_number 1
_cell_length_a 5.161
_cell_length_b 5.161
_cell_length_c 5.161
_cell_angle_alpha 90.00
_cell_angle_beta 90.00
_cell_angle_gamma 90.00
loop_
_symmetry_equiv_pos_as_xyz
'x,y,z'
loop_
_atom_site_label
_atom_site_type_symbol
_atom_site_fract_x
_atom_site_fract_y
_atom_site_fract_z
Nd1 Nd 0.500 0.500 0.500
Sm1 Sm 0.000 0.500 0.000
Sm2 Sm 0.000 0.000 0.500
Sm3 Sm 0.500 0.000 0.000
F1 F 0.000 0.000 0.000
```

=====

Record 2
NdSm2F | PBE-GGA | optimized geometry

Properties
SG: R-3m
Fermi-level density of states: 6.5 states/eV/f.u.

Cell and atoms, written as CIF:
```
data_NdSm2F
_chemical_formula_sum 'Nd1 Sm2 F1'
_symmetry_space_group_name_H-M 'P 1'
_symmetry_Int_Tables_number 1
_cell_length_a 3.714
_cell_length_b 3.714
_cell_length_c 9.721
_cell_angle_alpha 78.99
_cell_angle_beta 78.99
_cell_angle_gamma 60.00
loop_
_symmetry_equiv_pos_as_xyz
'x,y,z'
loop_
_atom_site_label
_atom_site_type_symbol
_atom_site_fract_x
_atom_site_fract_y
_atom_site_fract_z
Nd1 Nd 0.000 0.000 0.000
Sm1 Sm 0.118 0.118 0.645
Sm2 Sm 0.882 0.882 0.355
F1 F 0.500 0.500 0.500
```

=====

Record 3
NdSm2F11 | PBE-GGA | optimized geometry

Properties
SG: Ibam
Fermi-level density of states: 13.2 states/eV/f.u.

Cell and atoms, written as CIF:
```
data_NdSm2F11
_chemical_formula_sum 'Nd2 Sm4 F22'
_symmetry_space_group_name_H-M 'P 1'
_symmetry_Int_Tables_number 1
_cell_length_a 8.631
_cell_length_b 8.942
_cell_length_c 8.942
_cell_angle_alpha 71.67
_cell_angle_beta 61.14
_cell_angle_gamma 61.14
loop_
_symmetry_equiv_pos_as_xyz
'x,y,z'
loop_
_atom_site_label
_atom_site_type_symbol
_atom_site_fract_x
_atom_site_fract_y
_atom_site_fract_z
Nd1 Nd 0.750 0.750 0.750
Nd2 Nd 0.250 0.250 0.250
Sm1 Sm 0.660 0.690 0.310
Sm2 Sm 0.340 0.310 0.690
Sm3 Sm 0.840 0.190 0.810
Sm4 Sm 0.160 0.810 0.190
F1 F 0.664 0.708 0.555
F2 F 0.336 0.292 0.445
F3 F 0.073 0.555 0.708
F4 F 0.836 0.945 0.792
F5 F 0.927 0.445 0.292
F6 F 0.164 0.055 0.208
F7 F 0.427 0.792 0.945
F8 F 0.573 0.208 0.055
F9 F 0.500 0.500 0.500
F10 F 0.000 0.000 0.000
F11 F 0.892 0.808 0.192
F12 F 0.108 0.192 0.808
F13 F 0.608 0.308 0.692
F14 F 0.392 0.692 0.308
F15 F 0.461 0.971 0.315
F16 F 0.539 0.029 0.685
F17 F 0.253 0.315 0.971
F18 F 0.039 0.185 0.529
F19 F 0.747 0.685 0.029
F20 F 0.961 0.815 0.471
F21 F 0.247 0.529 0.185
F22 F 0.753 0.471 0.815
```

=====

Results for total energy: -25.61, -19.76, -165.07 (in eV for the cell shown, following the order of the records).